KSn2I4: relaxed, PBE.

CIF file:
```
data_KSn2I4
_cell_length_a 5.3126
_cell_length_b 7.4598
_cell_length_c 15.8685
_cell_angle_alpha 90.00
_cell_angle_beta 90.00
_cell_angle_gamma 110.86
_symmetry_space_group_name_H-M 'P 1'
_symmetry_Int_Tables_number 1
_symmetry_space_group_name_Hall 'P 1'
loop_
_atom_site_label
_atom_site_type_symbol
_atom_site_fract_x
_atom_site_fract_y
_atom_site_fract_z
I1 I 0.5000 0.0000 0.5000
Sn1 Sn 0.8819 0.7638 0.9444
I2 I 0.5000 0.0000 0.0000
I3 I 0.2339 0.4679 0.6125
I4 I 0.7661 0.5321 0.1125
K1 K 0.6299 0.2598 0.7500
K2 K 0.3701 0.7402 0.2500
I5 I 0.2339 0.4679 0.8875
I6 I 0.9571 0.9141 0.7500
Sn2 Sn 0.1181 0.2362 0.4444
I7 I 0.0429 0.0859 0.2500
Sn3 Sn 0.1181 0.2362 0.0556
I8 I 0.7661 0.5321 0.3875
Sn4 Sn 0.8819 0.7638 0.5556
```

Output
Volume, A^3/atom: 41.976
Symmetry: No. 63
Formation energy from raw total energies, meV/atom: -622